# 1
NbCd4Pd15, optimized geometry, DFT PBE; energy of formation from the pure elements = -0.30 eV/atom
1.0
-0.6565 2.5662 3.0204
-3.7091 -1.4767 0.4485
6.9911 -13.5909 13.0664
Pd Nb Cd
15 1 4
Cartesian
3.0471 -10.2673 9.3855 Pd
4.4763 -13.0456 12.0566 Pd
3.1673 -5.5124 8.0434 Pd
-0.8076 -2.1287 4.3048 Pd
2.0105 -7.6072 9.5718 Pd
0.6150 -4.8943 6.9636 Pd
-2.1828 0.5447 1.7345 Pd
1.6410 -7.5338 6.7575 Pd
6.0026 -11.0242 13.3425 Pd
0.2349 -4.8003 4.1295 Pd
1.7612 -2.7789 5.4154 Pd
4.5734 -8.2459 10.6714 Pd
3.4331 -10.3728 12.2306 Pd
-1.1942 -2.0220 1.4584 Pd
0.3321 -0.0006 2.7443 Pd
0.0000 0.0000 0.0000 Nb
2.7898 -5.4235 5.2142 Cd
4.2013 -8.1674 7.8522 Cd
1.3891 -2.7005 2.5963 Cd
5.6020 -10.8904 10.4701 Cd



# 2
NbCdPd2, optimized geometry, DFT PBE; energy of formation from the pure elements = -0.36 eV/atom
1.0
2.9081 0.0000 0.0000
0.0000 2.9081 0.0000
0.0000 0.0000 8.0309
Pd Cd Nb
2 1 1
Cartesian
0.0000 0.0000 6.0859 Pd
0.0000 0.0000 1.9450 Pd
1.4540 1.4540 4.0155 Cd
1.4540 1.4540 0.0000 Nb



# 3
NbCdPd, optimized geometry, DFT PBE; energy of formation from the pure elements = -0.17 eV/atom
1.0
-0.3795 0.8530 -3.2121
2.8728 -1.5414 -0.7487
-4.8768 -8.2985 -1.6277
Nb Pd Cd
2 2 2
Cartesian
-3.0424 -8.3919 -1.8692 Nb
-0.5878 -0.2508 -1.7389 Nb
-3.9152 -5.9129 -2.8495 Pd
0.2851 -2.7298 -0.7586 Pd
-1.4672 -5.7115 -1.3435 Cd
-2.1630 -2.9312 -2.2647 Cd



# 4
NbCdPd2, optimized geometry, DFT PBE; energy of formation from the pure elements = 0.23 eV/atom
1.0
7.2921 0.0000 0.0000
0.0000 7.2921 0.0000
3.6461 3.6461 2.8657
Pd Nb Cd
4 2 2
Cartesian
5.3120 1.8230 0.7164 Pd
9.1151 8.9580 2.1493 Pd
1.9801 5.4691 0.7164 Pd
5.4691 5.6262 2.1493 Pd
3.6461 7.2921 1.4329 Nb
3.6461 3.6461 0.0000 Nb
7.2921 3.6461 1.4329 Cd
0.0000 0.0000 0.0000 Cd



# 5
NbCdPd14, optimized geometry, DFT PBE; energy of formation from the pure elements = -0.19 eV/atom
1.0
-4.0808 -0.8793 -3.8552
-0.2428 -5.4739 1.5051
-5.4054 1.7060 5.3326
Nb Pd Cd
1 14 1
Cartesian
-6.4858 -4.7060 0.6100 Nb
-2.0051 -3.1238 1.8288 Pd
-1.8814 -0.3332 1.0615 Pd
-4.5626 0.5130 3.7065 Pd
-1.7428 -5.1194 -0.1288 Pd
-6.6430 0.0649 1.7412 Pd
-4.4455 -4.2664 2.5375 Pd
-4.0854 -3.5719 -0.1366 Pd
-6.7667 -2.7257 2.5086 Pd
-6.3644 -1.9691 -0.1426 Pd
-4.6863 -2.2776 4.4739 Pd
-3.9618 -0.7814 -0.9039 Pd
-1.6213 -2.3824 -0.8813 Pd
-3.6617 -2.8221 -2.8089 Pd
-3.7832 -5.5591 -2.0564 Pd
-4.3240 -1.5294 1.7850 Cd



# 6
NbCdPd, optimized geometry, DFT PBE; energy of formation from the pure elements = -0.14 eV/atom
1.0
2.9120 0.0000 0.0000
0.0000 2.9120 0.0000
-1.4560 -1.4560 6.2751
Nb Cd Pd
1 1 1
Cartesian
1.4560 1.4560 2.2181 Nb
1.4560 1.4560 6.2015 Cd
0.0000 0.0000 4.1307 Pd



# 7
NbCdPd5, optimized geometry, DFT PBE; energy of formation from the pure elements = -0.15 eV/atom
1.0
-3.5611 -0.1673 1.8045
-1.5064 -1.9387 -3.1525
1.9262 -6.6718 3.1826
Pd Cd Nb
5 1 1
Cartesian
-1.5707 -4.3889 0.9173 Pd
0.7410 -6.1448 0.8926 Pd
-1.3486 -1.5800 1.6161 Pd
-0.2864 -5.2591 3.3711 Pd
-0.3212 -2.4657 -0.8625 Pd
0.9631 -3.3359 1.5913 Cd
-2.5338 -1.0530 -0.6740 Nb



# 8
NbCdPd4, optimized geometry, DFT PBE; energy of formation from the pure elements = -0.09 eV/atom
1.0
4.8429 0.0000 0.0315
0.0000 7.2408 0.0000
-1.5804 -3.6204 6.0536
Pd Nb Cd
8 2 2
Cartesian
0.0000 1.4982 0.0000 Pd
2.3672 1.3643 1.4951 Pd
2.3672 5.8765 1.4951 Pd
2.3691 0.0000 3.9918 Pd
0.8935 3.6204 2.0934 Pd
0.8954 -2.2561 4.5900 Pd
0.0000 5.7426 0.0000 Pd
0.8954 2.2561 4.5900 Pd
3.4299 3.6204 0.8415 Nb
-0.1673 0.0000 5.2437 Nb
3.3353 3.6204 3.7420 Cd
-0.0728 0.0000 2.3431 Cd